# 1
Here is an optimized crystal structure of P2PtBr from the Alexandria database. Energies are from GGA-PBE.

Computed properties:
Formation energy (no corrections)   0.824 eV per atom
Volume   68 Å³/f.u.
Polymorph energy (0 for the lowest one)   1078 meV/atom
Fermi-level density of states   2.289 states/eV per cell

a = 3.0506 Å, b = 4.6904 Å, c = 4.7240 Å
α = 90.00°, β = 90.00°, γ = 90.00°
Space group Pmmm (No. 47)
Unique sites:
P: 0.0000 0.0000 0.0000 (multiplicity 1)
P: 0.5000 0.5000 0.0000 (multiplicity 1)
Pt: 0.0000 0.5000 0.5000 (multiplicity 1)
Br: 0.5000 0.0000 0.5000 (multiplicity 1)

***

# 2
Here is an optimized crystal structure of PPtBr from the Alexandria database. Energies are from GGA-PBE.

Computed properties:
Formation energy (no corrections)   0.135 eV per atom
Volume   71 Å³/f.u.
Polymorph energy (0 for the lowest one)   373 meV/atom
Fermi-level density of states   2.561 states/eV per cell

a = 3.0036 Å, b = 3.0036 Å, c = 15.7080 Å
α = 90.00°, β = 90.00°, γ = 90.00°
Space group I4mm (No. 107)
Unique sites:
P: 0.0000 0.0000 0.0000 (multiplicity 2)
Pt: 0.0000 0.0000 0.5731 (multiplicity 2)
Br: 0.0000 0.0000 0.2779 (multiplicity 2)

***

# 3
Here is an optimized crystal structure of PPt2Br from the Alexandria database. Energies are from GGA-PBE.

Computed properties:
Formation energy (no corrections)   0.586 eV per atom
Volume   67 Å³/f.u.
Fermi-level density of states   2.016 states/eV per cell

a = 4.5496 Å, b = 4.5496 Å, c = 3.2330 Å
α = 90.00°, β = 90.00°, γ = 90.00°
Space group P4/mmm (No. 123)
Unique sites:
P: 0.0000 0.0000 0.0000 (multiplicity 1)
Pt: 0.0000 0.5000 0.5000 (multiplicity 2)
Br: 0.5000 0.5000 0.0000 (multiplicity 1)

***

Q: Look up the volume of the first one.
A: 68 Å³/f.u.